DFT (PBE-GGA) results for Ba3SrAs after structural relaxation.

```
data_Ba3SrAs
_space_group_name_H-M_alt 'P m -3 m'
_space_group_IT_number 221
_space_group_name_Hall '-P 4 2 3'
_cell_length_a 6.5438
_cell_length_b 6.5438
_cell_length_c 6.5438
_cell_angle_alpha 90.00
_cell_angle_beta 90.00
_cell_angle_gamma 90.00
loop_
_atom_site_label
_atom_site_type_symbol
_atom_site_fract_x
_atom_site_fract_y
_atom_site_fract_z
_atom_site_occupancy
Ba1 Ba 0.0000 0.0000 0.5000 1
Sr1 Sr 0.5000 0.5000 0.5000 1
As1 As 0.0000 0.0000 0.0000 1
```

* total moment: 0.00 μB per formula unit
* relative energy among the computed polymorphs: 0 meV per atom
* calculated formation energy: -464 meV/atom
* Fermi-level density of states: 7.8 states/eV/cell
* total DFT energy (no corrections): -2.884 eV per atom
* calculated volume: 56.0 Å³/atom